1.
First-principles (GGA-PBE) data for a relaxed structure of Pr3Tm4Te8, as listed in Alexandria via LeMat-Bulk.

```
Pr3Tm4Te8
1.0
6.220 -6.227 0.000
6.220 6.227 0.000
-6.184 0.000 6.233
Pr Tm Te
3 4 8
direct
0.000 0.000 0.000
0.000 0.500 0.000
0.500 0.000 0.000
0.000 0.500 0.500
0.500 0.000 0.500
0.500 0.500 0.000
0.500 0.500 0.500
0.250 0.750 0.500
0.255 0.255 0.512
0.256 0.256 0.001
0.256 0.744 0.000
0.744 0.256 0.000
0.744 0.744 0.999
0.745 0.745 0.488
0.750 0.250 0.500
```

Crystal system: monoclinic
Calculated volume in A^3/atom: 32.2
Total moment in μB per formula unit: 0.0
Space-group type: C2/m, No. 12
Raw formation energy in eV per atom: -1.34

2.
First-principles (GGA-PBE) data for a relaxed structure of Pr5TmTe4, as listed in Alexandria via LeMat-Bulk.

```
Pr5TmTe4
1.0
9.429 -2.142 0.000
9.429 2.142 0.000
-1.763 0.000 8.567
Pr Tm Te
5 1 4
direct
0.000 0.000 0.000
0.318 0.318 0.141
0.331 0.331 0.695
0.669 0.669 0.305
0.682 0.682 0.859
0.000 0.000 0.500
0.162 0.162 0.574
0.494 0.494 0.259
0.506 0.506 0.741
0.838 0.838 0.426
```

Crystal system: monoclinic
Calculated volume in A^3/atom: 34.6
Total moment in μB per formula unit: 0.0
Space-group type: C2/m, No. 12
Raw formation energy in eV per atom: -1.00

3.
First-principles (GGA-PBE) data for a relaxed structure of PrTmTe6, as listed in Alexandria via LeMat-Bulk.

```
PrTmTe6
1.0
4.365 0.000 0.000
0.000 4.364 0.000
0.000 0.000 26.995
Pr Tm Te
2 2 12
direct
0.000 0.000 0.000
0.000 0.500 0.500
0.500 0.000 0.656
0.500 0.500 0.156
0.000 0.000 0.123
0.000 0.000 0.404
0.000 0.000 0.748
0.000 0.500 0.248
0.000 0.500 0.623
0.000 0.500 0.904
0.500 0.000 0.248
0.500 0.000 0.538
0.500 0.000 0.904
0.500 0.500 0.038
0.500 0.500 0.404
0.500 0.500 0.748
```

Crystal system: orthorhombic
Calculated volume in A^3/atom: 32.1
Total moment in μB per formula unit: 0.0
Space-group type: Amm2, No. 38
Raw formation energy in eV per atom: -0.92

4.
First-principles (GGA-PBE) data for a relaxed structure of Pr4Tm3Te8, as listed in Alexandria via LeMat-Bulk.

```
Pr4Tm3Te8
1.0
4.359 2.517 8.210
-4.359 2.517 8.210
0.000 -5.034 8.210
Pr Tm Te
4 3 8
direct
0.000 0.000 0.000
0.143 0.143 0.143
0.500 0.500 0.500
0.857 0.857 0.857
0.000 0.500 0.500
0.500 0.000 0.500
0.500 0.500 0.000
0.251 0.251 0.729
0.251 0.729 0.251
0.268 0.268 0.268
0.271 0.749 0.749
0.729 0.251 0.251
0.732 0.732 0.732
0.749 0.271 0.749
0.749 0.749 0.271
```

Crystal system: trigonal
Calculated volume in A^3/atom: 36.0
Total moment in μB per formula unit: 0.0
Space-group type: R-3m, No. 166
Raw formation energy in eV per atom: -1.19

5.
First-principles (GGA-PBE) data for a relaxed structure of PrTm2Te, as listed in Alexandria via LeMat-Bulk.

```
PrTm2Te
1.0
3.830 0.000 0.000
0.000 3.830 0.000
0.000 0.000 8.109
Pr Tm Te
1 2 1
direct
0.000 0.000 0.000
0.500 0.500 0.282
0.500 0.500 0.718
0.000 0.000 0.500
```

Crystal system: tetragonal
Calculated volume in A^3/atom: 29.7
Total moment in μB per formula unit: 0.0
Space-group type: P4/mmm, No. 123
Raw formation energy in eV per atom: -0.52

6.
First-principles (GGA-PBE) data for a relaxed structure of PrTmTe3, as listed in Alexandria via LeMat-Bulk.

```
PrTmTe3
1.0
8.280 0.000 0.000
0.000 4.416 0.000
0.000 0.000 17.387
Pr Tm Te
4 4 12
direct
0.137 0.250 0.199
0.363 0.750 0.699
0.637 0.250 0.301
0.863 0.750 0.801
0.227 0.750 0.458
0.273 0.250 0.958
0.727 0.750 0.042
0.773 0.250 0.542
0.007 0.250 0.395
0.119 0.750 0.061
0.156 0.250 0.787
0.344 0.750 0.287
0.381 0.250 0.561
0.493 0.750 0.895
0.507 0.250 0.105
0.619 0.750 0.439
0.656 0.250 0.713
0.844 0.750 0.213
0.881 0.250 0.939
0.993 0.750 0.605
```

Crystal system: orthorhombic
Calculated volume in A^3/atom: 31.8
Total moment in μB per formula unit: 0.0
Space-group type: Pnma, No. 62
Raw formation energy in eV per atom: -1.40

7.
First-principles (GGA-PBE) data for a relaxed structure of PrTm3Te4, as listed in Alexandria via LeMat-Bulk.

```
PrTm3Te4
1.0
8.915 0.000 0.000
0.000 12.339 0.000
0.000 0.000 4.267
Pr Tm Te
2 6 8
direct
0.000 0.000 0.000
0.500 0.500 0.000
0.000 0.500 0.000
0.250 0.250 0.500
0.250 0.750 0.500
0.500 0.000 0.000
0.750 0.250 0.500
0.750 0.750 0.500
0.000 0.256 0.000
0.000 0.744 0.000
0.237 0.500 0.500
0.263 0.000 0.500
0.500 0.244 0.000
0.500 0.756 0.000
0.737 0.000 0.500
0.763 0.500 0.500
```

Crystal system: orthorhombic
Calculated volume in A^3/atom: 29.3
Total moment in μB per formula unit: 0.0
Space-group type: Cmmm, No. 65
Raw formation energy in eV per atom: -1.23

8.
First-principles (GGA-PBE) data for a relaxed structure of PrY2Tm3Te6, as listed in Alexandria via LeMat-Bulk.

```
PrY2Tm3Te6
1.0
9.577 -2.160 0.000
9.577 2.160 0.000
-2.252 0.000 8.524
Pr Y Tm Te
1 2 3 6
direct
0.000 0.000 0.000
0.337 0.337 0.675
0.663 0.663 0.325
0.000 0.000 0.500
0.338 0.338 0.170
0.662 0.662 0.830
0.167 0.167 0.584
0.173 0.173 0.080
0.499 0.499 0.263
0.501 0.501 0.737
0.827 0.827 0.920
0.833 0.833 0.416
```

Crystal system: monoclinic
Calculated volume in A^3/atom: 29.4
Total moment in μB per formula unit: 0.0
Space-group type: C2/m, No. 12
Raw formation energy in eV per atom: -1.26

9.
First-principles (GGA-PBE) data for a relaxed structure of Pr2YTm3Te6, as listed in Alexandria via LeMat-Bulk.

```
Pr2YTm3Te6
1.0
9.662 -2.163 0.000
9.662 2.163 0.000
-2.358 0.000 8.596
Pr Y Tm Te
2 1 3 6
direct
0.170 0.170 0.338
0.830 0.830 0.662
0.500 0.500 0.000
0.172 0.172 0.836
0.500 0.500 0.500
0.828 0.828 0.164
0.005 0.005 0.749
0.335 0.335 0.929
0.339 0.339 0.405
0.661 0.661 0.595
0.665 0.665 0.071
0.995 0.995 0.251
```

Crystal system: monoclinic
Calculated volume in A^3/atom: 29.9
Total moment in μB per formula unit: 0.0
Space-group type: C2/m, No. 12
Raw formation energy in eV per atom: -1.29

10.
First-principles (GGA-PBE) data for a relaxed structure of Pr3YTm3Te8, as listed in Alexandria via LeMat-Bulk.

```
Pr3YTm3Te8
1.0
4.381 2.529 7.251
-4.381 2.529 7.251
0.000 -5.059 7.251
Pr Y Tm Te
3 1 3 8
direct
0.000 0.500 0.500
0.500 0.000 0.500
0.500 0.500 0.000
0.500 0.500 0.500
0.000 0.000 0.500
0.000 0.500 0.000
0.500 0.000 0.000
0.235 0.753 0.753
0.244 0.244 0.244
0.247 0.247 0.765
0.247 0.765 0.247
0.753 0.235 0.753
0.753 0.753 0.235
0.756 0.756 0.756
0.765 0.247 0.247
```

Crystal system: trigonal
Calculated volume in A^3/atom: 32.1
Total moment in μB per formula unit: 0.0
Space-group type: R-3m, No. 166
Raw formation energy in eV per atom: -1.38

11.
First-principles (GGA-PBE) data for a relaxed structure of Pr4YTm3Te8, as listed in Alexandria via LeMat-Bulk.

```
Pr4YTm3Te8
1.0
4.347 2.510 7.494
-4.347 2.510 7.494
0.000 -5.020 7.494
Pr Y Tm Te
4 1 3 8
direct
0.000 0.000 0.000
0.000 0.500 0.500
0.500 0.000 0.500
0.500 0.500 0.000
0.500 0.500 0.500
0.000 0.000 0.500
0.000 0.500 0.000
0.500 0.000 0.000
0.241 0.745 0.745
0.243 0.243 0.243
0.255 0.255 0.759
0.255 0.759 0.255
0.745 0.241 0.745
0.745 0.745 0.241
0.757 0.757 0.757
0.759 0.255 0.255
```

Crystal system: trigonal
Calculated volume in A^3/atom: 30.7
Total moment in μB per formula unit: 0.0
Space-group type: R-3m, No. 166
Raw formation energy in eV per atom: -1.33

12.
First-principles (GGA-PBE) data for a relaxed structure of Pr2YTmTe5, as listed in Alexandria via LeMat-Bulk.

```
Pr2YTmTe5
1.0
5.492 0.000 0.000
0.000 5.492 0.000
0.000 0.000 11.522
Pr Y Tm Te
2 1 1 5
direct
0.000 0.000 0.169
0.000 0.000 0.831
0.500 0.500 0.500
0.500 0.500 0.000
0.000 0.000 0.500
0.000 0.500 0.000
0.500 0.000 0.000
0.500 0.500 0.254
0.500 0.500 0.746
```

Crystal system: tetragonal
Calculated volume in A^3/atom: 38.6
Total moment in μB per formula unit: 0.5
Space-group type: P4/mmm, No. 123
Raw formation energy in eV per atom: -0.86

13.
First-principles (GGA-PBE) data for a relaxed structure of Pr2YTmTe6, as listed in Alexandria via LeMat-Bulk.

```
Pr2YTmTe6
1.0
3.930 2.269 7.053
-3.930 2.269 7.053
0.000 -4.538 7.053
Pr Y Tm Te
2 1 1 6
direct
0.000 0.000 0.000
0.500 0.500 0.500
0.191 0.191 0.191
0.691 0.691 0.691
0.076 0.423 0.803
0.306 0.919 0.579
0.423 0.803 0.076
0.579 0.306 0.919
0.803 0.076 0.423
0.919 0.579 0.306
```

Crystal system: trigonal
Calculated volume in A^3/atom: 37.7
Total moment in μB per formula unit: 0.0
Space-group type: R3, No. 146
Raw formation energy in eV per atom: -1.37

14.
First-principles (GGA-PBE) data for a relaxed structure of PrY2TmTe6, as listed in Alexandria via LeMat-Bulk.

```
PrY2TmTe6
1.0
3.881 2.241 7.054
-3.881 2.241 7.054
0.000 -4.482 7.054
Pr Y Tm Te
1 2 1 6
direct
0.000 0.000 0.000
0.309 0.309 0.309
0.812 0.812 0.812
0.496 0.496 0.496
0.091 0.702 0.419
0.220 0.584 0.901
0.419 0.091 0.702
0.584 0.901 0.220
0.702 0.419 0.091
0.901 0.220 0.584
```

Crystal system: trigonal
Calculated volume in A^3/atom: 36.8
Total moment in μB per formula unit: 0.0
Space-group type: R3, No. 146
Raw formation energy in eV per atom: -1.37

15.
First-principles (GGA-PBE) data for a relaxed structure of Pr3Y3TmTe8, as listed in Alexandria via LeMat-Bulk.

```
Pr3Y3TmTe8
1.0
4.409 2.546 7.290
-4.409 2.546 7.290
0.000 -5.092 7.290
Pr Y Tm Te
3 3 1 8
direct
0.000 0.500 0.500
0.500 0.000 0.500
0.500 0.500 0.000
0.000 0.000 0.500
0.000 0.500 0.000
0.500 0.000 0.000
0.500 0.500 0.500
0.242 0.749 0.749
0.246 0.246 0.246
0.251 0.251 0.758
0.251 0.758 0.251
0.749 0.242 0.749
0.749 0.749 0.242
0.754 0.754 0.754
0.758 0.251 0.251
```

Crystal system: trigonal
Calculated volume in A^3/atom: 32.7
Total moment in μB per formula unit: 0.0
Space-group type: R-3m, No. 166
Raw formation energy in eV per atom: -1.41

16.
First-principles (GGA-PBE) data for a relaxed structure of Pr2TmZnTe5, as listed in Alexandria via LeMat-Bulk.

```
Pr2TmZnTe5
1.0
2.152 -9.664 0.000
2.152 9.664 0.000
0.000 0.000 13.225
Pr Tm Zn Te
4 2 2 10
direct
0.114 0.886 0.500
0.129 0.871 0.124
0.871 0.129 0.624
0.886 0.114 0.000
0.200 0.800 0.830
0.800 0.200 0.330
0.435 0.565 0.275
0.565 0.435 0.775
0.047 0.953 0.887
0.285 0.715 0.489
0.311 0.689 0.166
0.356 0.644 0.817
0.500 0.500 0.102
0.500 0.500 0.602
0.644 0.356 0.317
0.689 0.311 0.666
0.715 0.285 0.989
0.953 0.047 0.387
```

Crystal system: orthorhombic
Calculated volume in A^3/atom: 30.6
Total moment in μB per formula unit: 0.0
Space-group type: Cmc2_1, No. 36
Raw formation energy in eV per atom: -1.18

17.
First-principles (GGA-PBE) data for a relaxed structure of Pr2UTe6, as listed in Alexandria via LeMat-Bulk.

```
Pr2UTe6
1.0
8.575 0.000 0.000
-4.287 7.426 0.000
0.000 0.000 4.317
Pr U Te
2 1 6
direct
0.333 0.667 0.000
0.667 0.333 0.000
0.000 0.000 0.500
0.000 0.397 0.500
0.000 0.746 0.000
0.254 0.254 0.000
0.397 0.000 0.500
0.603 0.603 0.500
0.746 0.000 0.000
```

Crystal system: hexagonal
Calculated volume in A^3/atom: 30.5
Total moment in μB per formula unit: 1.4
Space-group type: P-62m, No. 189
Raw formation energy in eV per atom: -1.01

18.
First-principles (GGA-PBE) data for a relaxed structure of PrUTe3, as listed in Alexandria via LeMat-Bulk.

```
PrUTe3
1.0
9.670 -2.187 0.000
9.670 2.187 0.000
-0.889 0.000 8.032
Pr U Te
2 2 6
direct
0.141 0.141 0.068
0.859 0.859 0.932
0.437 0.437 0.490
0.563 0.563 0.510
0.007 0.007 0.759
0.172 0.172 0.455
0.315 0.315 0.165
0.685 0.685 0.835
0.828 0.828 0.545
0.993 0.993 0.241
```

Crystal system: monoclinic
Calculated volume in A^3/atom: 34.0
Total moment in μB per formula unit: 0.9
Space-group type: C2/m, No. 12
Raw formation energy in eV per atom: -0.86

19.
First-principles (GGA-PBE) data for a relaxed structure of Pr2U2Te7, as listed in Alexandria via LeMat-Bulk.

```
Pr2U2Te7
1.0
-2.184 8.088 4.911
2.184 -8.088 4.911
2.184 8.088 -4.911
Pr U Te
2 2 7
direct
0.239 0.000 0.239
0.761 0.000 0.761
0.232 0.232 0.000
0.681 0.181 0.500
0.059 0.693 0.366
0.328 0.693 0.634
0.405 0.510 0.894
0.616 0.510 0.106
0.618 0.295 0.323
0.918 0.918 0.000
0.972 0.295 0.677
```

Crystal system: orthorhombic
Calculated volume in A^3/atom: 31.5
Total moment in μB per formula unit: 4.0
Space-group type: Imm2, No. 44
Raw formation energy in eV per atom: -0.98

20.
First-principles (GGA-PBE) data for a relaxed structure of PrU2Te4, as listed in Alexandria via LeMat-Bulk.

```
PrU2Te4
1.0
2.132 -7.168 0.000
2.132 7.168 0.000
0.000 0.000 15.298
Pr U Te
2 4 8
direct
0.111 0.889 0.750
0.889 0.111 0.250
0.360 0.640 0.563
0.360 0.640 0.937
0.640 0.360 0.063
0.640 0.360 0.437
0.000 0.000 0.000
0.000 0.000 0.500
0.281 0.719 0.127
0.281 0.719 0.373
0.444 0.556 0.750
0.556 0.444 0.250
0.719 0.281 0.627
0.719 0.281 0.873
```

Crystal system: orthorhombic
Calculated volume in A^3/atom: 33.4
Total moment in μB per formula unit: 6.5
Space-group type: Cmcm, No. 63
Raw formation energy in eV per atom: -0.80